Entry 1:
Below is crystalline CoAs2Au at its relaxed geometry, with properties calculated at the PBE level.

Cell and atoms, written as extended XYZ:
```
4
Lattice="2.876 0.000 0.000 0.000 2.876 0.000 0.000 0.000 8.144" Properties=species:S:1:pos:R:3 pbc="T T T"
Co 0.000 0.000 0.000
As 0.000 0.000 4.049
As 1.438 1.438 1.274
Au 1.438 1.438 6.191
```

Properties
Energy relative to the elements   0.139 eV/atom
Energy above the most stable polymorph in this dataset   209 meV/atom
Space-group type   P4mm (99)
Mass density   10.0 Mg/m³

=====

Entry 2:
Below is crystalline Nd3Al7Cu4 at its relaxed geometry, with properties calculated at the PBE level.

Cell and atoms, written as extended XYZ:
```
14
Lattice="7.915 -2.135 0.000 7.915 2.135 0.000 -5.695 0.000 7.766" Properties=species:S:1:pos:R:3 pbc="T T T"
Nd 0.000 0.000 0.000
Nd 3.153 0.000 2.402
Nd 6.981 0.000 5.364
Al -2.848 0.000 3.883
Al 0.045 0.000 3.252
Al -0.393 0.000 7.562
Al 3.803 0.000 5.534
Al 6.332 0.000 2.232
Al 10.527 0.000 0.203
Al 10.089 0.000 4.513
Cu -2.841 0.000 6.575
Cu 1.313 0.000 5.567
Cu 8.821 0.000 2.199
Cu 12.975 0.000 1.190
```

Properties
Energy relative to the elements   -0.413 eV/atom
Space-group type   C2/m (12)
Mass density   5.5 Mg/m³

=====

Entry 3:
Below is crystalline Sr2TlSbP at its relaxed geometry, with properties calculated at the PBE level.

Cell and atoms, written as extended XYZ:
```
10
Lattice="8.472 0.000 0.000 0.000 4.462 0.000 -3.081 0.000 9.022" Properties=species:S:1:pos:R:3 pbc="T T T"
Sr 0.065 1.116 4.075
Sr -1.123 1.116 8.119
Sr 6.513 3.347 0.902
Sr 5.326 3.347 4.947
Tl 3.173 1.116 2.939
Tl 2.218 3.347 6.083
Sb 1.458 3.347 1.679
Sb 3.933 1.116 7.343
P -0.430 3.347 6.184
P 5.821 1.116 2.838
```

Properties
Formation energy without anion corrections   -67 kJ per mole of atoms
Space-group type   P2_1/m (11)
Mass density   5.2 Mg/m³

=====

Entry 4:
Below is crystalline Er3HfTl4S8 at its relaxed geometry, with properties calculated at the PBE level.

Cell and atoms, written as extended XYZ:
```
16
Lattice="6.722 -3.882 0.000 6.722 3.882 0.000 -4.475 0.000 7.926" Properties=species:S:1:pos:R:3 pbc="T T T"
Er 0.000 0.000 0.000
Er 3.361 1.941 0.000
Er 3.361 -1.941 0.000
Hf 6.722 0.000 0.000
Tl -2.237 0.000 3.963
Tl 1.124 1.941 3.963
Tl 1.124 -1.941 3.963
Tl 4.485 0.000 3.963
S 2.241 0.000 1.506
S 5.661 1.840 1.458
S 0.123 0.000 6.469
S 3.309 1.840 6.468
S 5.661 -1.840 1.458
S 8.847 0.000 1.457
S 3.309 -1.840 6.468
S 6.729 0.000 6.420
```

Properties
Formation energy without anion corrections   -133 kJ per mole of atoms
Space-group type   C2/m (12)
Mass density   7.0 Mg/m³

=====

Entry 5:
Below is crystalline Sc4SbH at its relaxed geometry, with properties calculated at the PBE level.

Cell and atoms, written as extended XYZ:
```
12
Lattice="6.679 -2.849 0.000 6.679 2.849 0.000 -1.869 0.000 6.219" Properties=species:S:1:pos:R:3 pbc="T T T"
Sc 0.492 0.524 2.815
Sc -0.443 -0.524 5.924
Sc 2.586 0.523 5.304
Sc 3.521 -0.523 2.194
Sc 7.967 0.523 4.025
Sc 8.902 -0.523 0.915
Sc 11.931 0.524 0.295
Sc 10.996 -0.524 3.404
Sb 6.211 0.719 1.555
Sb 5.277 -0.719 4.664
H 2.405 1.424 3.110
H 3.339 -1.424 0.000
```

Properties
Space-group type   C2/c (15)
Mass density   4.2 Mg/m³
Electronic total energy   -5.8556 eV per atom

=====

Entry 6:
Below is crystalline NaAcHg at its relaxed geometry, with properties calculated at the PBE level.

Cell and atoms, written as extended XYZ:
```
6
Lattice="5.827 0.000 0.000 -2.913 5.046 0.000 0.000 0.000 6.738" Properties=species:S:1:pos:R:3 pbc="T T T"
Na 0.000 0.000 0.000
Na 0.000 0.000 3.369
Ac 0.000 3.364 1.685
Ac 2.913 1.682 5.054
Hg 0.000 3.364 5.054
Hg 2.913 1.682 1.685
```

Properties
Energy relative to the elements   -0.218 eV/atom
Energy above the most stable polymorph in this dataset   8 meV/atom
Space-group type   P6_3/mmc (194)
Mass density   7.6 Mg/m³

=====

The lowest mass density belongs to which entry?
Sc4SbH

=====

What is the mass density in the second record?
5.5 Mg/m³

=====

Repeat the fourth record exactly.
Below is crystalline Er3HfTl4S8 at its relaxed geometry, with properties calculated at the PBE level.

Cell and atoms, written as extended XYZ:
```
16
Lattice="6.722 -3.882 0.000 6.722 3.882 0.000 -4.475 0.000 7.926" Properties=species:S:1:pos:R:3 pbc="T T T"
Er 0.000 0.000 0.000
Er 3.361 1.941 0.000
Er 3.361 -1.941 0.000
Hf 6.722 0.000 0.000
Tl -2.237 0.000 3.963
Tl 1.124 1.941 3.963
Tl 1.124 -1.941 3.963
Tl 4.485 0.000 3.963
S 2.241 0.000 1.506
S 5.661 1.840 1.458
S 0.123 0.000 6.469
S 3.309 1.840 6.468
S 5.661 -1.840 1.458
S 8.847 0.000 1.457
S 3.309 -1.840 6.468
S 6.729 0.000 6.420
```

Properties
Formation energy without anion corrections   -133 kJ per mole of atoms
Space-group type   C2/m (12)
Mass density   7.0 Mg/m³

=====

Look up the mass density of the first one.
10.0 Mg/m³